The following is a PBE calculation of LaMnSe2 after structural relaxation, from Alexandria.

crystal system: orthorhombic
total DFT energy (no corrections): -6.125 eV/atom
magnetic moment: 4.21 Bohr magnetons per cell
space group: No. 65

Lattice parameters (Å, degrees): 3.6281 3.6281 7.1292 90.00 90.00 101.73
Positions (direct):
Mn  0.5000  0.5000  0.7500
Se  0.0000  0.0000  0.9814
Se  0.0000  0.0000  0.5186
La  0.5000  0.5000  0.2500

---

The following is a PBE calculation of LaMnSe2 after structural relaxation, from Alexandria.

crystal system: monoclinic
total DFT energy (no corrections): -6.385 eV/atom
magnetic moment: 4.11 Bohr magnetons per cell
space group: No. 6

Lattice parameters (Å, degrees): 4.6491 4.0285 5.8810 69.89 90.00 90.00
Positions (direct):
La  0.0000  0.5791  0.4675
Se  0.5000  0.1439  0.3381
Se  0.0000  0.8600  0.9051
Mn  0.5000  0.9170  0.7893

---

The following is a PBE calculation of LaMnSe3 after structural relaxation, from Alexandria.

crystal system: monoclinic
total DFT energy (no corrections): -6.115 eV/atom
magnetic moment: 16.00 Bohr magnetons per cell
space group: No. 14

Lattice parameters (Å, degrees): 8.7639 9.0273 7.7125 90.00 90.00 117.27
Positions (direct):
Mn  0.5807  0.6945  0.6196
Mn  0.0807  0.6945  0.8804
Mn  0.4193  0.3055  0.3804
Mn  0.9193  0.3055  0.1196
Se  0.9457  0.3931  0.8046
Se  0.6070  0.2497  0.1689
Se  0.2095  0.9862  0.9879
Se  0.3930  0.7503  0.8311
Se  0.0543  0.6069  0.1954
Se  0.7095  0.9862  0.5121
Se  0.7905  0.0138  0.0121
Se  0.5543  0.6069  0.3046
Se  0.2905  0.0138  0.4879
Se  0.1070  0.2497  0.3311
Se  0.8930  0.7503  0.6689
Se  0.4457  0.3931  0.6954
La  0.0598  0.1293  0.7150
La  0.5598  0.1293  0.7850
La  0.4402  0.8707  0.2150
La  0.9402  0.8707  0.2850

---

What did we get for density of states at the Fermi level? Answer: 2.165, 1.178, 1.660 states/eV per cell, in the order shown.
What did we get for formation energy without anion corrections? Answer: -0.86, -1.12, -1.20 eV/atom, in the order shown.
What did we get for E above lowest polymorph? Answer: 0.3675, 0.1077, 0.0000 eV/atom, in the order shown.